CaCN2O after structural relaxation, computed with GGA-PBE.

DOS at the Fermi energy in states/eV per atom: 0.562
Formation energy (no corrections) in eV per atom: 2.57
SG: No. 123
DFT total energy in eV per atom: -4.00
Total magnetization in μB/cell: 4.00

Lattice parameters (Å, degrees): 4.7530 4.7530 4.4201 90.00 90.00 90.00
With the nearest neighbours (Å) after each atom.
Fractional positions:
1 Ca 0.0000 0.0000 0.0000  2 O 2.21, 4 N 2.38
2 C 0.5000 0.5000 0.5000  8 N 3.25, 4 O 3.36
3 O 0.0000 0.0000 0.5000  2 Ca 2.21
4 N 0.0000 0.5000 0.0000  2 Ca 2.38
5 N 0.5000 0.0000 0.0000  2 Ca 2.38